This record from the Alexandria database describes a relaxed CeEuRhAu crystal. The functional is PBE.

Cell lengths 5.1037, 5.1037, 5.1037 Å; angles 60.00, 60.00, 60.00 degrees
Element x y z (fractional)
Ce  0.0000  0.0000  0.0000
Eu  0.5000  0.5000  0.5000
Rh  0.7500  0.7500  0.7500
Au  0.2500  0.2500  0.2500

Values from the calculation:
SG: No. 216
uncorrected energy: -7.292 eV/atom
volume: 94.0 Å³/cell
calculated formation energy: -2.33 eV/f.u.